Entry from Alexandria: an optimized crystal structure of Tc5Pt (PBEsol).

Calculated values
Calculated formation energy (eV per atom): -0.15
Distance to the lowest polymorph of the same formula (eV/f.u.): 0.000
VASP energy (eV per atom): -10.70

Cell: 4.7427 4.7427 4.3162 Å, 90.00 90.00 120.00°
Closest atoms and distances in Å follow each position.
Space group P-62m (No. 189)
Unique sites:
Tc1 0.0000 0.3362 0.0000 [3 per cell]  10 Tc 2.67-2.76, 2 Pt 2.68
Tc2 0.3333 0.6667 0.5000 [2 per cell]  9 Tc 2.67-2.74, 3 Pt 2.74
Pt1 0.0000 0.0000 0.5000 [1 per cell]  12 Tc 2.68-2.74

Entry from Alexandria: an optimized crystal structure of TcPt2 (PBEsol).

Calculated values
Calculated formation energy (eV per atom): -0.18
Distance to the lowest polymorph of the same formula (eV/f.u.): 0.070
VASP energy (eV per atom): -8.58

Cell: 2.7192 3.9023 8.1754 Å, 90.00 90.00 90.00°
Closest atoms and distances in Å follow each position.
Space group Immm (No. 71)
Unique sites:
Tc1 0.0000 0.0000 0.0000 [2 per cell]  2 Tc 2.72, 10 Pt 2.73-2.75
Pt1 0.0000 0.0000 0.3369 [4 per cell]  7 Pt 2.67-2.77, 5 Tc 2.73-2.75

Entry from Alexandria: an optimized crystal structure of TcPt3 (PBEsol).

Calculated values
Calculated formation energy (eV per atom): -0.08
VASP energy (eV per atom): -8.12

Cell: 4.5286 5.4417 4.7604 Å, 90.00 90.00 90.00°
Closest atoms and distances in Å follow each position.
Space group Pmmn (No. 59, origin choice 2)
Unique sites:
Tc1 0.2500 0.2500 0.1659 [2 per cell]  12 Pt 2.72-2.76
Pt1 0.2500 0.9997 0.6644 [4 per cell]  8 Pt 2.69-2.79, 4 Tc 2.74-2.76
Pt2 0.2500 0.7500 0.1522 [2 per cell]  8 Pt 2.69-2.79, 4 Tc 2.72

Entry from Alexandria: an optimized crystal structure of TcPt (PBEsol).

Calculated values
Calculated formation energy (eV per atom): -0.17
Distance to the lowest polymorph of the same formula (eV/f.u.): 0.000
VASP energy (eV per atom): -9.28

Cell: 2.7431 2.7431 8.8568 Å, 90.00 90.00 120.00°
Closest atoms and distances in Å follow each position.
Space group P-3m1 (No. 164)
Unique sites:
Tc1 0.3333 0.6667 0.3851 [2 per cell]  9 Tc 2.58-2.74, 3 Pt 2.72
Pt1 0.3333 0.6667 0.8647 [2 per cell]  3 Tc 2.72, 9 Pt 2.74-2.87

Entry from Alexandria: an optimized crystal structure of TcPt3 (PBEsol).

Calculated values
Calculated formation energy (eV per atom): -0.13
VASP energy (eV per atom): -8.17

Cell: 2.7359 3.9005 5.4725 Å, 90.00 90.00 90.00°
Closest atoms and distances in Å follow each position.
Space group Pmmm (No. 47)
Unique sites:
Tc1 0.0000 0.0000 0.0000 [1 per cell]  10 Pt 2.72-2.74, 2 Tc 2.74
Pt1 0.0000 0.0000 0.5000 [1 per cell]  10 Pt 2.74-2.77, 2 Tc 2.74
Pt2 0.5000 0.5000 0.2408 [2 per cell]  8 Pt 2.64-2.84, 4 Tc 2.72

Entry from Alexandria: an optimized crystal structure of TcPt4 (PBEsol).

Calculated values
Calculated formation energy (eV per atom): -0.13
VASP energy (eV per atom): -7.96

Cell: 6.1542 6.1542 3.8711 Å, 90.00 90.00 90.00°
Closest atoms and distances in Å follow each position.
Space group I4/m (No. 87)
Unique sites:
Tc1 0.0000 0.0000 0.0000 [2 per cell]  12 Pt 2.73-2.75
Pt1 0.1027 0.2961 0.5000 [8 per cell]  9 Pt 2.71-2.81, 3 Tc 2.73-2.75